! Sr3In3Cu | Alexandria | GGA-PBE | optimized geometry; values from VASP
! E_form = -342 meV per atom
! Density of states at the Fermi level = 5.0 states/eV/f.u.
! SG = No. 12
&SYSTEM
  ibrav = 0, nat = 14, ntyp = 3
/
ATOMIC_SPECIES
Sr 87.62 Sr.upf
In 114.82 In.upf
Cu 63.55 Cu.upf
ATOMIC_POSITIONS crystal
Sr 0.009 0.009 0.389
Sr 0.118 0.118 0.921
Sr 0.237 0.237 0.240
Sr 0.763 0.763 0.760
Sr 0.882 0.882 0.079
Sr 0.991 0.991 0.611
In 0.312 0.312 0.460
In 0.396 0.396 0.921
In 0.480 0.480 0.765
In 0.520 0.520 0.235
In 0.604 0.604 0.079
In 0.688 0.688 0.540
Cu 0.302 0.302 0.623
Cu 0.698 0.698 0.377
CELL_PARAMETERS angstrom
6.276 -2.168 0.000
6.276 2.168 0.000
-4.771 0.000 16.357

---

! SCl3O | Alexandria | GGA-PBE | optimized geometry; values from VASP
! Energy relative to the elements, uncorrected = -313 meV per atom
! Density of states at the Fermi level = 0.4 states/eV/f.u.
! SG = No. 13
&SYSTEM
  ibrav = 0, nat = 20, ntyp = 3
/
ATOMIC_SPECIES
S 32.06 S.upf
Cl 35.45 Cl.upf
O 16.00 O.upf
ATOMIC_POSITIONS crystal
S 0.196 0.227 0.034
S 0.196 0.773 0.534
S 0.804 0.227 0.466
S 0.804 0.773 0.966
Cl 0.077 0.213 0.580
Cl 0.077 0.787 0.080
Cl 0.256 0.206 0.263
Cl 0.256 0.794 0.763
Cl 0.295 0.426 0.988
Cl 0.295 0.574 0.488
Cl 0.705 0.426 0.512
Cl 0.705 0.574 0.012
Cl 0.744 0.206 0.237
Cl 0.744 0.794 0.737
Cl 0.923 0.213 0.920
Cl 0.923 0.787 0.420
O 0.273 0.112 0.988
O 0.273 0.888 0.488
O 0.727 0.112 0.512
O 0.727 0.888 0.012
CELL_PARAMETERS angstrom
8.575 0.000 0.000
0.000 9.429 0.000
-3.901 0.000 9.229

---

! Be4CoCu | Alexandria | GGA-PBE | optimized geometry; values from VASP
! E_form = -170 meV per atom
! Density of states at the Fermi level = 3.1 states/eV/f.u.
! SG = No. 216
&SYSTEM
  ibrav = 0, nat = 6, ntyp = 3
/
ATOMIC_SPECIES
Be 9.01 Be.upf
Co 58.93 Co.upf
Cu 63.55 Cu.upf
ATOMIC_POSITIONS crystal
Be 0.125 0.125 0.125
Be 0.125 0.125 0.624
Be 0.125 0.624 0.125
Be 0.624 0.125 0.125
Co 0.500 0.500 0.500
Cu 0.750 0.750 0.750
CELL_PARAMETERS angstrom
0.000 2.959 2.959
2.959 0.000 2.959
2.959 2.959 0.000

---

! Fe3CuOs | Alexandria | GGA-PBE | optimized geometry; values from VASP
! E_form = 1488 meV per atom
! Density of states at the Fermi level = 5.5 states/eV/f.u.
! SG = No. 221
&SYSTEM
  ibrav = 0, nat = 5, ntyp = 3
/
ATOMIC_SPECIES
Fe 55.84 Fe.upf
Cu 63.55 Cu.upf
Os 190.23 Os.upf
ATOMIC_POSITIONS crystal
Fe 0.000 0.000 0.500
Fe 0.000 0.500 0.000
Fe 0.500 0.000 0.000
Cu 0.000 0.000 0.000
Os 0.500 0.500 0.500
CELL_PARAMETERS angstrom
4.249 0.000 0.000
0.000 4.249 0.000
0.000 0.000 4.249

---

! ScRh | Alexandria | GGA-PBE | optimized geometry; values from VASP
! E_form = -844 meV per atom
! Density of states at the Fermi level = 0.5 states/eV/f.u.
! SG = No. 198
&SYSTEM
  ibrav = 0, nat = 8, ntyp = 2
/
ATOMIC_SPECIES
Sc 44.96 Sc.upf
Rh 102.91 Rh.upf
ATOMIC_POSITIONS crystal
Sc 0.088 0.088 0.088
Sc 0.412 0.912 0.588
Sc 0.588 0.412 0.912
Sc 0.912 0.588 0.412
Rh 0.093 0.593 0.907
Rh 0.407 0.407 0.407
Rh 0.593 0.907 0.093
Rh 0.907 0.093 0.593
CELL_PARAMETERS angstrom
5.178 0.000 0.000
0.000 5.178 0.000
0.000 0.000 5.178

---

! Ni2Te4Br | Alexandria | GGA-PBE | optimized geometry; values from VASP
! Energy relative to the elements, uncorrected = -247 meV per atom
! Density of states at the Fermi level = 2.7 states/eV/f.u.
! SG = No. 12
&SYSTEM
  ibrav = 0, nat = 14, ntyp = 3
/
ATOMIC_SPECIES
Ni 58.69 Ni.upf
Te 127.60 Te.upf
Br 79.90 Br.upf
ATOMIC_POSITIONS crystal
Ni 0.071 0.000 0.211
Ni 0.429 0.500 0.789
Ni 0.571 0.500 0.211
Ni 0.929 0.000 0.789
Te 0.129 0.500 0.886
Te 0.228 0.000 0.689
Te 0.272 0.500 0.311
Te 0.371 0.000 0.114
Te 0.629 0.000 0.886
Te 0.728 0.500 0.689
Te 0.772 0.000 0.311
Te 0.871 0.500 0.114
Br 0.000 0.500 0.500
Br 0.500 0.000 0.500
CELL_PARAMETERS angstrom
6.774 0.000 0.000
0.000 3.899 0.000
-2.276 0.000 12.864

---

! Ba4Nb25O40 | Alexandria | GGA-PBE | optimized geometry; values from VASP
! Energy relative to the elements, uncorrected = -2383 meV per atom
! Density of states at the Fermi level = 11.1 states/eV/f.u.
! SG = No. 10
&SYSTEM
  ibrav = 0, nat = 69, ntyp = 3
/
ATOMIC_SPECIES
Ba 137.33 Ba.upf
Nb 92.91 Nb.upf
O 16.00 O.upf
ATOMIC_POSITIONS crystal
Ba 0.000 0.000 0.100
Ba 0.000 0.000 0.900
Ba 0.001 0.000 0.699
Ba 0.999 0.000 0.301
Nb 0.207 0.500 0.576
Nb 0.209 0.500 0.380
Nb 0.211 0.500 0.780
Nb 0.212 0.500 0.181
Nb 0.212 0.500 0.980
Nb 0.380 0.500 0.460
Nb 0.398 0.500 0.657
Nb 0.402 0.500 0.058
Nb 0.402 0.500 0.857
Nb 0.403 0.500 0.258
Nb 0.497 0.000 0.401
Nb 0.500 0.000 0.000
Nb 0.500 0.000 0.200
Nb 0.500 0.000 0.800
Nb 0.503 0.000 0.599
Nb 0.597 0.500 0.742
Nb 0.598 0.500 0.143
Nb 0.598 0.500 0.942
Nb 0.602 0.500 0.343
Nb 0.620 0.500 0.540
Nb 0.788 0.500 0.020
Nb 0.788 0.500 0.819
Nb 0.789 0.500 0.220
Nb 0.791 0.500 0.620
Nb 0.793 0.500 0.424
O 0.098 0.500 0.438
O 0.099 0.500 0.040
O 0.099 0.500 0.840
O 0.101 0.500 0.240
O 0.101 0.500 0.639
O 0.204 0.000 0.376
O 0.204 0.000 0.777
O 0.205 0.000 0.178
O 0.205 0.000 0.977
O 0.207 0.000 0.578
O 0.299 0.500 0.720
O 0.301 0.500 0.120
O 0.301 0.500 0.920
O 0.304 0.500 0.320
O 0.312 0.500 0.521
O 0.386 0.000 0.459
O 0.387 0.000 0.059
O 0.387 0.000 0.659
O 0.387 0.000 0.859
O 0.388 0.000 0.259
O 0.612 0.000 0.741
O 0.613 0.000 0.141
O 0.613 0.000 0.341
O 0.613 0.000 0.941
O 0.614 0.000 0.541
O 0.688 0.500 0.479
O 0.696 0.500 0.680
O 0.699 0.500 0.080
O 0.699 0.500 0.880
O 0.701 0.500 0.280
O 0.793 0.000 0.422
O 0.795 0.000 0.023
O 0.795 0.000 0.822
O 0.796 0.000 0.223
O 0.796 0.000 0.624
O 0.899 0.500 0.361
O 0.899 0.500 0.760
O 0.901 0.500 0.160
O 0.901 0.500 0.960
O 0.902 0.500 0.562
CELL_PARAMETERS angstrom
6.699 0.000 0.000
0.000 4.155 0.000
-0.028 0.000 33.519

---

! Th2Re | Alexandria | GGA-PBE | optimized geometry; values from VASP
! E_form = 33 meV per atom
! Density of states at the Fermi level = 3.3 states/eV/f.u.
! SG = No. 71
&SYSTEM
  ibrav = 0, nat = 12, ntyp = 2
/
ATOMIC_SPECIES
Th 232.04 Th.upf
Re 186.21 Re.upf
ATOMIC_POSITIONS crystal
Th 0.000 0.000 0.214
Th 0.000 0.000 0.786
Th 0.000 0.255 0.500
Th 0.000 0.745 0.500
Th 0.500 0.245 0.000
Th 0.500 0.500 0.286
Th 0.500 0.500 0.714
Th 0.500 0.755 0.000
Re 0.000 0.500 0.121
Re 0.000 0.500 0.879
Re 0.500 0.000 0.379
Re 0.500 0.000 0.621
CELL_PARAMETERS angstrom
3.912 0.000 0.000
0.000 6.630 0.000
0.000 0.000 12.448